Entry 1:
Entry from Alexandria via LeMat-Bulk: a relaxed AgGe3N crystal (PBE).

Output
- V: 23.664 Å³/atom
- Polymorph energy (0 for the lowest one): 5.449 eV/f.u.
- Crystal system: cubic
- Size of the total moment: 0.00 μB per formula unit
- Energy relative to the elements, uncorrected: 1.754 eV/atom

Cell lengths 4.9093, 4.9093, 4.9093 Å; angles 90.00, 90.00, 90.00 degrees
With the nearest neighbours (Å) after each atom.
Element x y z (fractional)
Ge (0.5000, 0.0000, 0.0000)  2 Ag 2.45
Ge (0.0000, 0.0000, 0.5000)  2 Ag 2.45
Ge (0.0000, 0.5000, 0.0000)  2 Ag 2.45
Ag (0.0000, 0.0000, 0.0000)  6 Ge 2.45
N (0.5000, 0.5000, 0.5000)  12 Ge 3.47

=====

Entry 2:
Entry from Alexandria via LeMat-Bulk: a relaxed Li2ThBiSe4 crystal (PBE).

Output
- V: 24.911 Å³/atom
- Crystal system: monoclinic
- Size of the total moment: 0.00 μB per formula unit
- Energy relative to the elements, uncorrected: -1.076 eV/atom

Cell lengths 4.1398, 7.0159, 7.3023 Å; angles 69.99, 90.00, 90.00 degrees
With the nearest neighbours (Å) after each atom.
Element x y z (fractional)
Se (0.5000, 0.7669, 0.2459)  3 Li 2.86, 2 Th 2.98, 1 Bi 3.01
Se (0.5000, 0.2331, 0.7541)  3 Li 2.86, 2 Th 2.98, 1 Bi 3.01
Se (0.0000, 0.2355, 0.2637)  3 Li 2.84-2.93, 1 Th 2.94, 2 Bi 3.00
Se (0.0000, 0.7645, 0.7363)  3 Li 2.84-2.93, 1 Th 2.94, 2 Bi 3.00
Bi (0.5000, 0.5000, 0.0000)  6 Se 3.00-3.01
Li (0.0000, 0.0000, 0.0000)  6 Se 2.86-2.93
Li (0.5000, 0.0000, 0.5000)  6 Se 2.84-2.86
Th (0.0000, 0.5000, 0.5000)  6 Se 2.94-2.98

=====

Entry 3:
Entry from Alexandria via LeMat-Bulk: a relaxed La2CdN crystal (PBE).

Output
- V: 23.768 Å³/atom
- Polymorph energy (0 for the lowest one): 4.339 eV/f.u.
- Crystal system: cubic
- Size of the total moment: 0.00 μB per formula unit
- Energy relative to the elements, uncorrected: 0.240 eV/atom

Cell lengths 5.1230, 5.1230, 5.1230 Å; angles 60.00, 60.00, 60.00 degrees
With the nearest neighbours (Å) after each atom.
Element x y z (fractional)
Cd (0.5000, 0.5000, 0.5000)  8 La 3.14
La (0.2500, 0.2500, 0.2500)  4 Cd 3.14, 4 N 3.14
La (0.7500, 0.7500, 0.7500)  4 Cd 3.14, 4 N 3.14
N (0.0000, 0.0000, 0.0000)  8 La 3.14

=====

Entry 4:
Entry from Alexandria via LeMat-Bulk: a relaxed GaCo2Ni6 crystal (PBE).

Output
- V: 12.161 Å³/atom
- Crystal system: trigonal
- Size of the total moment: 6.96 μB per formula unit
- DFT formation energy: 2.062 eV/f.u.

Cell lengths 5.5186, 4.7856, 4.7856 Å; angles 120.00, 90.00, 90.00 degrees
With the nearest neighbours (Å) after each atom.
Element x y z (fractional)
Ga (0.5000, 0.0000, 0.0000)  6 Ni 2.31
Ni (0.1728, 0.1731, 0.8269)  6 Ni 2.30-2.48, 1 Ga 2.31
Ni (0.1728, 0.1731, 0.3461)  6 Ni 2.30-2.48, 1 Ga 2.31
Ni (0.8272, 0.8269, 0.6539)  6 Ni 2.30-2.48, 1 Ga 2.31
Ni (0.1728, 0.6539, 0.8269)  6 Ni 2.30-2.48, 1 Ga 2.31
Ni (0.8272, 0.8269, 0.1731)  6 Ni 2.30-2.48, 1 Ga 2.31
Ni (0.8272, 0.3461, 0.1731)  6 Ni 2.30-2.48, 1 Ga 2.31
Co (0.4039, 0.6667, 0.3333)  9 Ni 2.69-2.71, 3 Ga 2.81, 3 Co 2.96
Co (0.5961, 0.3333, 0.6667)  9 Ni 2.69-2.71, 3 Ga 2.81, 3 Co 2.96

=====

Entry 5:
Entry from Alexandria via LeMat-Bulk: a relaxed Li8Cd3Sn4 crystal (PBE).

Output
- V: 19.719 Å³/atom
- Crystal system: cubic
- Size of the total moment: 0.00 μB per formula unit
- DFT formation energy: -4.568 eV/f.u.

Cell lengths 9.4227, 9.4228, 9.4226 Å; angles 60.00, 60.00, 60.00 degrees
With the nearest neighbours (Å) after each atom.
Element x y z (fractional)
Li (0.4036, 0.8654, 0.8655)  4 Sn 2.82-3.11, 3 Cd 2.96-2.97, 3 Li 3.08
Li (0.8654, 0.4036, 0.8655)  4 Sn 2.82-3.11, 3 Cd 2.96-2.97, 3 Li 3.08
Li (0.9029, 0.3657, 0.3657)  4 Sn 2.82-3.10, 3 Cd 2.96, 3 Li 3.08
Li (0.3657, 0.3657, 0.9029)  4 Sn 2.82-3.10, 3 Cd 2.96, 3 Li 3.08
Li (0.8655, 0.8655, 0.4036)  4 Sn 2.82-3.11, 3 Cd 2.96-2.97, 3 Li 3.08
Li (0.0971, 0.6343, 0.6343)  4 Sn 2.82-3.10, 3 Cd 2.96, 3 Li 3.08
Li (0.1345, 0.1345, 0.5964)  4 Sn 2.82-3.11, 3 Cd 2.96-2.97, 3 Li 3.08
Li (0.1346, 0.5964, 0.1345)  4 Sn 2.82-3.11, 3 Cd 2.96-2.97, 3 Li 3.08
Li (0.6343, 0.6343, 0.6343)  4 Sn 2.82-3.10, 3 Cd 2.96, 3 Li 3.08
Li (0.5964, 0.1346, 0.1345)  4 Sn 2.82-3.11, 3 Cd 2.96-2.97, 3 Li 3.08
Li (0.6343, 0.0971, 0.6343)  4 Sn 2.82-3.10, 3 Cd 2.96, 3 Li 3.08
Li (0.3657, 0.9029, 0.3657)  4 Sn 2.82-3.10, 3 Cd 2.96, 3 Li 3.08
Li (0.1345, 0.1345, 0.1346)  4 Sn 2.82-3.11, 3 Cd 2.96-2.97, 3 Li 3.08
Li (0.8655, 0.8655, 0.8654)  4 Sn 2.82-3.11, 3 Cd 2.96-2.97, 3 Li 3.08
Li (0.6343, 0.6343, 0.0971)  4 Sn 2.82-3.10, 3 Cd 2.96, 3 Li 3.08
Li (0.3657, 0.3657, 0.3657)  4 Sn 2.82-3.10, 3 Cd 2.96, 3 Li 3.08
Cd (0.7501, 0.2499, 0.7501)  8 Li 2.96-2.97
Cd (0.7501, 0.2499, 0.2499)  8 Li 2.96-2.97
Cd (0.2499, 0.2499, 0.7501)  8 Li 2.96
Cd (0.2499, 0.7501, 0.7501)  8 Li 2.96-2.97
Cd (0.2499, 0.7501, 0.2499)  8 Li 2.96-2.97
Cd (0.7501, 0.7501, 0.2499)  8 Li 2.96
Sn (0.0000, 0.0000, 0.5000)  8 Li 2.82
Sn (0.5000, 0.0000, 0.5000)  8 Li 2.82
Sn (0.5000, 0.5000, 0.5000)  8 Li 3.10, 6 Cd 3.33
Sn (0.5000, 0.0000, 0.0000)  8 Li 2.82
Sn (0.0000, 0.0000, 0.0000)  8 Li 3.11, 6 Cd 3.33
Sn (0.0000, 0.5000, 0.5000)  8 Li 2.82
Sn (0.0000, 0.5000, 0.0000)  8 Li 2.82
Sn (0.5000, 0.5000, 0.0000)  8 Li 2.82

=====

Entry 6:
Entry from Alexandria via LeMat-Bulk: a relaxed BaBe2W crystal (PBE).

Output
- V: 18.183 Å³/atom
- Polymorph energy (0 for the lowest one): 2.492 eV/f.u.
- Crystal system: orthorhombic
- Size of the total moment: 0.00 μB per formula unit
- DFT formation energy: 4.677 eV/f.u.

Cell lengths 5.7168, 5.7168, 5.7168 Å; angles 151.23, 125.30, 62.97 degrees
With the nearest neighbours (Å) after each atom.
Element x y z (fractional)
W (0.4563, 0.4563, 0.0000)  2 Be 2.52
Ba (0.7550, 0.2550, 0.5000)  2 Ba 2.84, 6 Be 2.99-3.17
Be (0.0455, 0.0455, 0.0000)  2 Be 2.39
Be (0.2431, 0.7431, 0.5000)  2 Be 2.39, 2 W 2.52

=====

Entry 7:
Entry from Alexandria via LeMat-Bulk: a relaxed YRe2Cl crystal (PBE).

Output
- V: 19.514 Å³/atom
- Polymorph energy (0 for the lowest one): 1.550 eV/f.u.
- Crystal system: tetragonal
- Size of the total moment: 0.00 μB per formula unit
- Energy relative to the elements, uncorrected: 0.193 eV/atom

Cell lengths 5.8649, 3.6481, 3.6481 Å; angles 90.00, 90.00, 90.00 degrees
With the nearest neighbours (Å) after each atom.
Element x y z (fractional)
Re (0.0000, 0.5000, 0.5000)  4 Re 2.58
Re (0.0000, 0.0000, 0.0000)  4 Re 2.58
Y (0.5000, 0.5000, 0.0000)  4 Cl 2.58
Cl (0.5000, 0.0000, 0.5000)  4 Y 2.58

=====

Entry 8:
Entry from Alexandria via LeMat-Bulk: a relaxed YH5Se2O8 crystal (PBE).

Output
- V: 12.012 Å³/atom
- Crystal system: orthorhombic
- Size of the total moment: 0.00 μB per formula unit

Cell lengths 6.6851, 7.0365, 16.3427 Å; angles 90.00, 90.00, 90.00 degrees
With the nearest neighbours (Å) after each atom.
Element x y z (fractional)
O (0.4023, 0.3930, 0.4003)  1 H 1.65, 1 Se 1.71
O (0.5726, 0.1973, 0.5167)  1 H 1.02
O (0.6395, 0.0959, 0.3619)  1 Se 1.73, 1 H 1.81
O (0.5977, 0.8930, 0.0997)  1 H 1.65, 1 Se 1.71
O (0.6882, 0.7782, 0.2638)  1 Se 1.73
O (0.0726, 0.3027, 0.4833)  1 H 1.02
O (0.4073, 0.6867, 0.5564)  2 H 0.98
O (0.8118, 0.2218, 0.7638)  1 Se 1.73
O (0.0977, 0.6070, 0.9003)  1 H 1.65, 1 Se 1.71
O (0.9674, 0.0986, 0.1995)  1 Se 1.72
O (0.3118, 0.2782, 0.2362)  1 Se 1.73
O (0.9073, 0.8133, 0.4436)  2 H 0.98
O (0.8935, 0.7093, 0.5992)  2 H 0.99-1.01
O (0.3935, 0.7907, 0.4008)  2 H 0.99-1.01
O (0.0326, 0.5986, 0.3005)  1 Se 1.72
O (0.9274, 0.8027, 0.0167)  1 H 1.02
O (0.5927, 0.1867, 0.9436)  2 H 0.98
O (0.5326, 0.9014, 0.6995)  1 Se 1.72
O (0.4274, 0.6973, 0.9833)  1 H 1.02
O (0.1065, 0.2093, 0.9008)  2 H 0.99-1.01
O (0.9023, 0.1070, 0.5997)  1 H 1.65, 1 Se 1.71
O (0.8605, 0.9041, 0.8619)  1 Se 1.73, 1 H 1.81
O (0.3605, 0.5959, 0.1381)  1 Se 1.73, 1 H 1.81
O (0.0927, 0.3133, 0.0564)  2 H 0.98
O (0.6856, 0.4200, 0.2626)  1 Se 1.75
O (0.1395, 0.4041, 0.6381)  1 Se 1.73, 1 H 1.81
O (0.6065, 0.2907, 0.0992)  2 H 0.99-1.01
O (0.8144, 0.5800, 0.7626)  1 Se 1.75
O (0.1856, 0.0800, 0.7374)  1 Se 1.75
O (0.4674, 0.4014, 0.8005)  1 Se 1.72
O (0.1882, 0.7218, 0.7362)  1 Se 1.73
O (0.3144, 0.9200, 0.2374)  1 Se 1.75
H (0.4756, 0.9072, 0.3955)  1 O 0.99
H (0.2026, 0.3323, 0.4537)  1 O 1.02
H (0.7026, 0.1677, 0.5463)  1 O 1.02
H (0.1878, 0.3998, 0.0829)  1 O 0.98
H (0.5244, 0.4072, 0.1045)  1 O 0.99
H (0.2974, 0.6677, 0.9537)  1 O 1.02
H (0.6056, 0.2505, 0.0400)  1 O 1.01
H (0.8122, 0.8998, 0.4171)  1 O 0.98
H (0.1056, 0.2495, 0.9600)  1 O 1.01
H (0.9512, 0.7267, 0.3999)  1 O 0.98
H (0.0488, 0.2267, 0.1001)  1 O 0.98
H (0.7974, 0.8323, 0.0463)  1 O 1.02
H (0.0244, 0.0928, 0.8955)  1 O 0.99
H (0.9756, 0.5928, 0.6045)  1 O 0.99
H (0.8944, 0.7495, 0.5400)  1 O 1.01
H (0.5488, 0.2733, 0.8999)  1 O 0.98
H (0.4512, 0.7733, 0.6001)  1 O 0.98
H (0.3944, 0.7505, 0.4600)  1 O 1.01
H (0.6878, 0.1002, 0.9171)  1 O 0.98
H (0.3122, 0.6002, 0.5829)  1 O 0.98
Y (0.3752, 0.5980, 0.2840)  8 O 2.31-2.47
Y (0.6248, 0.0980, 0.2160)  8 O 2.31-2.47
Y (0.8752, 0.9020, 0.7160)  8 O 2.31-2.47
Y (0.1248, 0.4020, 0.7840)  8 O 2.31-2.47
Se (0.3455, 0.8996, 0.7715)  3 O 1.72-1.75
Se (0.3653, 0.8017, 0.0801)  3 O 1.71-1.79
Se (0.8653, 0.6983, 0.9199)  3 O 1.71-1.79
Se (0.1347, 0.1983, 0.5801)  3 O 1.71-1.79
Se (0.6347, 0.3017, 0.4199)  3 O 1.71-1.79
Se (0.1545, 0.1004, 0.2715)  3 O 1.72-1.75
Se (0.8455, 0.6004, 0.2285)  3 O 1.72-1.75
Se (0.6545, 0.3996, 0.7285)  3 O 1.72-1.75

=====

Entry 9:
Entry from Alexandria via LeMat-Bulk: a relaxed Na3ZnF6 crystal (PBE).

Output
- V: 14.044 Å³/atom
- Polymorph energy (0 for the lowest one): 0.138 eV/f.u.
- Crystal system: trigonal
- Size of the total moment: 1.04 μB per formula unit
- Energy relative to the elements, uncorrected: -2.352 eV/atom

Cell lengths 6.5497, 6.5497, 6.5497 Å; angles 90.85, 90.85, 90.85 degrees
With the nearest neighbours (Å) after each atom.
Element x y z (fractional)
F (0.5470, 0.4415, 0.7930)  1 Zn 1.98
F (0.2930, 0.9415, 0.0470)  1 Zn 1.98
F (0.0470, 0.2930, 0.9415)  1 Zn 1.98
F (0.7930, 0.5470, 0.4415)  1 Zn 1.98
F (0.7070, 0.0585, 0.9530)  1 Zn 1.98
F (0.9530, 0.7070, 0.0585)  1 Zn 1.98
F (0.2070, 0.4530, 0.5585)  1 Zn 1.98
F (0.4415, 0.7930, 0.5470)  1 Zn 1.98
F (0.4530, 0.5585, 0.2070)  1 Zn 1.98
F (0.5585, 0.2070, 0.4530)  1 Zn 1.98
F (0.0585, 0.9530, 0.7070)  1 Zn 1.98
F (0.9415, 0.0470, 0.2930)  1 Zn 1.98
Zn (0.5000, 0.5000, 0.5000)  6 F 1.98
Zn (0.0000, 0.0000, 0.0000)  6 F 1.98
Na (0.5829, 0.9171, 0.2500)  6 F 2.31-2.50
Na (0.4171, 0.0829, 0.7500)  6 F 2.31-2.50
Na (0.2500, 0.5829, 0.9171)  6 F 2.31-2.50
Na (0.9171, 0.2500, 0.5829)  6 F 2.31-2.50
Na (0.7500, 0.4171, 0.0829)  6 F 2.31-2.50
Na (0.0829, 0.7500, 0.4171)  6 F 2.31-2.50

=====

Entry 10:
Entry from Alexandria via LeMat-Bulk: a relaxed Y2TmPa crystal (PBE).

Output
- V: 29.704 Å³/atom
- Polymorph energy (0 for the lowest one): 0.000 eV/f.u.
- Crystal system: tetragonal
- Size of the total moment: 0.16 μB per formula unit
- DFT formation energy: 0.599 eV/f.u.

Cell lengths 3.4107, 3.4107, 10.2138 Å; angles 90.00, 90.00, 90.00 degrees
With the nearest neighbours (Å) after each atom.
Element x y z (fractional)
Tm (0.5000, 0.5000, 0.5000)  4 Tm 3.41, 8 Y 3.62
Y (0.0000, 0.0000, 0.7639)  4 Y 3.41, 4 Pa 3.41, 4 Tm 3.62
Y (0.0000, 0.0000, 0.2361)  4 Y 3.41, 4 Pa 3.41, 4 Tm 3.62
Pa (0.5000, 0.5000, 0.0000)  4 Pa 3.41, 8 Y 3.41

=====

Entry 11:
Entry from Alexandria via LeMat-Bulk: a relaxed Sm2AlGa3Ir4 crystal (PBE).

Output
- V: 18.645 Å³/atom
- Crystal system: tetragonal
- Size of the total moment: 0.00 μB per formula unit
- DFT formation energy: -7.567 eV/f.u.

Cell lengths 4.2482, 4.2482, 10.3313 Å; angles 90.00, 90.00, 90.00 degrees
With the nearest neighbours (Å) after each atom.
Element x y z (fractional)
Ga (0.5000, 0.0000, 0.8727)  5 Ir 2.48-2.50
Ga (0.0000, 0.0000, 0.5000)  4 Ir 2.53
Ga (0.0000, 0.5000, 0.1273)  5 Ir 2.48-2.50
Ir (0.0000, 0.5000, 0.3677)  3 Ga 2.48-2.53, 2 Al 2.53
Ir (0.5000, 0.0000, 0.6323)  3 Ga 2.48-2.53, 2 Al 2.53
Ir (0.5000, 0.5000, 0.0000)  4 Ga 2.50
Ir (0.0000, 0.0000, 0.0000)  4 Ga 2.50
Sm (0.0000, 0.5000, 0.7635)  6 Ga 3.21-3.45, 8 Ir 3.24-3.30, 2 Al 3.45
Sm (0.5000, 0.0000, 0.2365)  6 Ga 3.21-3.45, 8 Ir 3.24-3.30, 2 Al 3.45
Al (0.5000, 0.5000, 0.5000)  4 Ir 2.53

=====

Entry 12:
Entry from Alexandria via LeMat-Bulk: a relaxed Li2NbTlF8 crystal (PBE).

Output
- V: 15.547 Å³/atom
- Crystal system: monoclinic
- Size of the total moment: 0.00 μB per formula unit
- Energy relative to the elements, uncorrected: -2.766 eV/atom

Cell lengths 4.9785, 4.9785, 7.9362 Å; angles 82.69, 82.69, 73.89 degrees
With the nearest neighbours (Å) after each atom.
Element x y z (fractional)
Nb (0.0000, 0.0000, 0.0000)  6 F 1.91-1.96
F (0.2453, 0.7871, 0.8221)  1 Nb 1.96, 1 Li 2.04
F (0.3334, 0.3334, 0.5280)  2 Li 1.87-1.88
F (0.7547, 0.2129, 0.1779)  1 Nb 1.96, 1 Li 2.04
F (0.7578, 0.7578, 0.0148)  1 Nb 1.91
F (0.2129, 0.7547, 0.1779)  1 Nb 1.96, 1 Li 2.04
F (0.2422, 0.2422, 0.9852)  1 Nb 1.91
F (0.7871, 0.2453, 0.8221)  1 Nb 1.96, 1 Li 2.04
F (0.6666, 0.6666, 0.4720)  2 Li 1.87-1.88
Li (0.4993, 0.4993, 0.3315)  4 F 1.87-2.04
Li (0.5007, 0.5007, 0.6685)  4 F 1.87-2.04
Tl (0.0000, 0.0000, 0.5000)  6 F 2.70-2.92

=====

Number 1: raw total energy -3.252 eV/atom. Number 2: raw total energy -4.709 eV/atom. Number 3: raw total energy -4.534 eV/atom. Number 4: raw total energy -5.541 eV/atom. Number 5: raw total energy -2.576 eV/atom. Number 6: raw total energy -4.413 eV/atom. Number 7: raw total energy -8.109 eV/atom. Number 8: raw total energy -5.756 eV/atom. Number 9: raw total energy -3.998 eV/atom. Number 10: raw total energy -6.574 eV/atom. Number 11: raw total energy -6.527 eV/atom. Number 12: raw total energy -5.369 eV/atom.